(1)
An optimized crystal structure of Zr2W2I, computed with PBE-GGA.

abc: 8.189 8.189 3.380
angles: 90.00 90.00 90.00
Fractional coordinates of all 10 atoms:
Zr1 0.187 0.313 0.000
Zr2 0.313 0.813 0.000
Zr3 0.687 0.187 0.000
Zr4 0.813 0.687 0.000
W1 0.100 0.600 0.500
W2 0.400 0.100 0.500
W3 0.600 0.900 0.500
W4 0.900 0.400 0.500
I1 0.000 0.000 0.000
I2 0.500 0.500 0.000

**Uncorrected formation energy**: 3.20 eV per formula unit
**Magnetization**: 0.000 μB/atom
**E_tot**: -8.270 eV per atom
**Offset from the most stable computed form**: 258 meV/atom
**ρ**: 9.9 Mg/m³



(2)
An optimized crystal structure of ThAsIrO, computed with PBE-GGA.

abc: 4.063 4.063 8.292
angles: 90.00 90.00 90.00
Fractional coordinates of all 8 atoms:
Th1 0.250 0.250 0.161
Th2 0.750 0.750 0.839
As1 0.250 0.250 0.676
As2 0.750 0.750 0.324
Ir1 0.250 0.750 0.500
Ir2 0.750 0.250 0.500
O1 0.250 0.750 0.000
O2 0.750 0.250 0.000

**Uncorrected formation energy**: -7.61 eV per formula unit
**Magnetization**: 0.000 μB/atom
**E_tot**: -8.374 eV per atom
**ρ**: 12.5 Mg/m³



(3)
An optimized crystal structure of BaLaMg17, computed with PBE-GGA.

abc: 7.942 7.942 7.942
angles: 82.61 82.61 82.61
Fractional coordinates of all 19 atoms:
Ba1 0.000 0.000 0.000
La1 0.669 0.669 0.669
Mg1 0.040 0.340 0.632
Mg2 0.040 0.632 0.340
Mg3 0.185 0.685 0.685
Mg4 0.240 0.240 0.240
Mg5 0.338 0.338 0.836
Mg6 0.338 0.836 0.338
Mg7 0.340 0.040 0.632
Mg8 0.340 0.632 0.040
Mg9 0.437 0.437 0.437
Mg10 0.498 0.985 0.985
Mg11 0.632 0.040 0.340
Mg12 0.632 0.340 0.040
Mg13 0.685 0.185 0.685
Mg14 0.685 0.685 0.185
Mg15 0.836 0.338 0.338
Mg16 0.985 0.498 0.985
Mg17 0.985 0.985 0.498

**Magnetization**: 0.000 μB/atom
**E_tot**: -1.860 eV per atom
**ρ**: 2.3 Mg/m³



(4)
An optimized crystal structure of HfSnI2, computed with PBE-GGA.

abc: 5.300 5.300 5.300
angles: 60.00 60.00 60.00
Fractional coordinates of all 4 atoms:
Hf1 0.000 0.000 0.000
Sn1 0.500 0.500 0.500
I1 0.250 0.250 0.250
I2 0.750 0.750 0.750

**Uncorrected formation energy**: 1.10 eV per formula unit
**Magnetization**: 0.000 μB/atom
**E_tot**: -3.988 eV per atom
**Offset from the most stable computed form**: 283 meV/atom
**ρ**: 8.7 Mg/m³



(5)
An optimized crystal structure of Mg2Sn2Ir, computed with PBE-GGA.

abc: 6.947 6.947 4.468
angles: 90.00 90.00 90.00
Fractional coordinates of all 10 atoms:
Mg1 0.169 0.331 0.000
Mg2 0.331 0.831 0.000
Mg3 0.669 0.169 0.000
Mg4 0.831 0.669 0.000
Sn1 0.146 0.646 0.500
Sn2 0.354 0.146 0.500
Sn3 0.646 0.854 0.500
Sn4 0.854 0.354 0.500
Ir1 0.000 0.000 0.500
Ir2 0.500 0.500 0.500

**Magnetization**: 0.000 μB/atom
**E_tot**: -4.116 eV per atom
**Offset from the most stable computed form**: 137 meV/atom
**ρ**: 7.4 Mg/m³



(6)
An optimized crystal structure of Pm8As3CS3, computed with PBE-GGA.

abc: 8.232 8.232 8.232
angles: 59.67 59.67 59.67
Fractional coordinates of all 15 atoms:
Pm1 0.249 0.249 0.249
Pm2 0.272 0.726 0.726
Pm3 0.274 0.274 0.728
Pm4 0.274 0.728 0.274
Pm5 0.726 0.272 0.726
Pm6 0.726 0.726 0.272
Pm7 0.728 0.274 0.274
Pm8 0.751 0.751 0.751
As1 0.000 0.500 0.500
As2 0.500 0.000 0.500
As3 0.500 0.500 0.000
C1 0.500 0.500 0.500
S1 0.000 0.000 0.500
S2 0.000 0.500 0.000
S3 0.500 0.000 0.000

**Uncorrected formation energy**: -21.81 eV per formula unit
**Magnetization**: 0.096 μB/atom
**E_tot**: -6.358 eV per atom
**ρ**: 6.3 Mg/m³



(7)
An optimized crystal structure of LaPm8In6, computed with PBE-GGA.

abc: 8.505 8.505 8.505
angles: 66.14 66.14 66.14
Fractional coordinates of all 15 atoms:
La1 0.000 0.000 0.000
Pm1 0.116 0.784 0.445
Pm2 0.216 0.555 0.884
Pm3 0.332 0.332 0.332
Pm4 0.445 0.116 0.784
Pm5 0.555 0.884 0.216
Pm6 0.668 0.668 0.668
Pm7 0.784 0.445 0.116
Pm8 0.884 0.216 0.555
In1 0.056 0.394 0.716
In2 0.284 0.944 0.606
In3 0.394 0.716 0.056
In4 0.606 0.284 0.944
In5 0.716 0.056 0.394
In6 0.944 0.606 0.284

**Magnetization**: 0.000 μB/atom
**E_tot**: -4.200 eV per atom
**ρ**: 6.7 Mg/m³



(8)
An optimized crystal structure of K3PrBi2S6, computed with PBE-GGA.

abc: 7.249 7.249 7.800
angles: 98.90 98.90 119.99
Fractional coordinates of all 12 atoms:
K1 0.000 0.000 0.000
K2 0.332 0.668 0.000
K3 0.668 0.332 0.000
Pr1 0.500 0.500 0.500
Bi1 0.167 0.833 0.500
Bi2 0.833 0.167 0.500
S1 0.095 0.430 0.290
S2 0.235 0.235 0.710
S3 0.430 0.095 0.290
S4 0.570 0.905 0.710
S5 0.765 0.765 0.290
S6 0.905 0.570 0.710

**Uncorrected formation energy**: -13.82 eV per formula unit
**Magnetization**: 0.000 μB/atom
**E_tot**: -4.535 eV per atom
**ρ**: 4.3 Mg/m³



(9)
An optimized crystal structure of InPt2W, computed with PBE-GGA.

abc: 2.889 2.889 8.067
angles: 90.00 90.00 90.00
Fractional coordinates of all 4 atoms:
In1 0.000 0.000 0.000
Pt1 0.500 0.500 0.268
Pt2 0.500 0.500 0.732
W1 0.000 0.000 0.500

**Magnetization**: 0.000 μB/atom
**E_tot**: -7.185 eV per atom
**ρ**: 17.0 Mg/m³



(10)
An optimized crystal structure of SiSe, computed with PBE-GGA.

abc: 8.763 8.763 8.763
angles: 156.78 153.44 35.57
Fractional coordinates of all 4 atoms:
Si1 0.289 0.039 0.250
Si2 0.711 0.961 0.750
Se1 0.379 0.629 0.750
Se2 0.621 0.371 0.250

**Uncorrected formation energy**: -0.57 eV per formula unit
**Magnetization**: 0.000 μB/atom
**E_tot**: -4.738 eV per atom
**ρ**: 3.0 Mg/m³



(11)
An optimized crystal structure of Y3HoSc3Se8, computed with PBE-GGA.

abc: 7.973 7.973 7.973
angles: 59.56 59.56 59.56
Fractional coordinates of all 15 atoms:
Y1 0.000 0.500 0.500
Y2 0.500 0.000 0.500
Y3 0.500 0.500 0.000
Ho1 0.500 0.500 0.500
Sc1 0.000 0.000 0.500
Sc2 0.000 0.500 0.000
Sc3 0.500 0.000 0.000
Se1 0.234 0.756 0.756
Se2 0.244 0.244 0.766
Se3 0.244 0.766 0.244
Se4 0.245 0.245 0.245
Se5 0.755 0.755 0.755
Se6 0.756 0.234 0.756
Se7 0.756 0.756 0.234
Se8 0.766 0.244 0.244

**Uncorrected formation energy**: -26.43 eV per formula unit
**Magnetization**: 0.000 μB/atom
**E_tot**: -6.485 eV per atom
**ρ**: 5.6 Mg/m³



(12)
An optimized crystal structure of CaBi2W, computed with PBE-GGA.

abc: 6.760 6.760 6.760
angles: 104.41 104.41 120.15
Fractional coordinates of all 8 atoms:
Ca1 0.000 0.000 0.000
Ca2 0.750 0.250 0.500
Bi1 0.168 0.125 0.543
Bi2 0.375 0.832 0.957
Bi3 0.582 0.625 0.457
Bi4 0.875 0.418 0.043
W1 0.250 0.750 0.500
W2 0.500 0.500 0.000

**Magnetization**: 0.477 μB/atom
**E_tot**: -5.142 eV per atom
**Offset from the most stable computed form**: 142 meV/atom
**ρ**: 9.2 Mg/m³